(1)
First-principles (PBE) data for a geometry-optimized Li4PuSb2 structure, as listed in the Alexandria database.

Lattice parameters (Å, degrees): 4.612 4.612 8.548 74.35 74.35 60.00
Sites, in units of the cell vectors:
Li 0.137 0.137 0.589
Li 0.863 0.863 0.411
Pu 0.000 0.000 0.000
Sb 0.746 0.746 0.762
Li 0.426 0.426 0.721
Li 0.574 0.574 0.279
Sb 0.254 0.254 0.238

Summary:
The value obtained for the calculated total energy is -4.909 eV per atom. Its crystal system is trigonal. Its uncorrected formation energy is -0.590 eV per atom. For the volume, the calculation gives 21.4 A^3/atom. As for the density of states at the Fermi level: 14.36 states/eV/f.u.



(2)
First-principles (PBE) data for a geometry-optimized LiPuSb structure, as listed in the Alexandria database.

Lattice parameters (Å, degrees): 4.151 4.151 5.325 112.94 112.94 90.00
Sites, in units of the cell vectors:
Li 0.286 0.286 0.572
Sb 0.606 0.606 0.212
Pu 0.958 0.958 0.916

Summary:
The distance to the lowest polymorph of the same formula is 338 meV per atom. The value obtained for the calculated total energy is -7.068 eV per atom. Its crystal system is tetragonal. Its uncorrected formation energy is -0.279 eV per atom. For the volume, the calculation gives 25.5 A^3/atom. As for the density of states at the Fermi level: 10.95 states/eV/f.u.



(3)
First-principles (PBE) data for a geometry-optimized Li2PuSb structure, as listed in the Alexandria database.

Lattice parameters (Å, degrees): 4.813 4.813 4.813 60.00 60.00 60.00
Sites, in units of the cell vectors:
Li 0.750 0.750 0.750
Pu 0.500 0.500 0.500
Li 0.250 0.250 0.250
Sb 0.000 0.000 0.000

Summary:
The value obtained for the calculated total energy is -5.858 eV per atom. Its crystal system is cubic. Its uncorrected formation energy is -0.288 eV per atom. For the volume, the calculation gives 19.7 A^3/atom. As for the density of states at the Fermi level: 7.13 states/eV/f.u.



(4)
First-principles (PBE) data for a geometry-optimized LiPuSb structure, as listed in the Alexandria database.

Lattice parameters (Å, degrees): 4.064 4.533 4.533 120.00 90.00 90.00
Sites, in units of the cell vectors:
Pu 0.333 0.333 0.667
Sb 0.833 0.667 0.333
Li 0.833 0.000 0.000

Summary:
The distance to the lowest polymorph of the same formula is 106 meV per atom. The value obtained for the calculated total energy is -7.301 eV per atom. Its crystal system is hexagonal. Its uncorrected formation energy is -0.511 eV per atom. For the volume, the calculation gives 24.1 A^3/atom. As for the density of states at the Fermi level: 11.18 states/eV/f.u.



(5)
First-principles (PBE) data for a geometry-optimized Li2PuSbSe4 structure, as listed in the Alexandria database.

Lattice parameters (Å, degrees): 4.112 7.144 6.910 110.47 90.00 90.00
Sites, in units of the cell vectors:
Se 0.500 0.748 0.741
Li 0.500 0.000 0.500
Li 0.000 0.500 0.500
Sb 0.000 0.000 0.000
Se 0.000 0.753 0.255
Se 0.500 0.252 0.259
Pu 0.500 0.500 0.000
Se 0.000 0.247 0.745

Summary:
The value obtained for the calculated total energy is -5.527 eV per atom. Its crystal system is monoclinic. Its uncorrected formation energy is -0.999 eV per atom. For the volume, the calculation gives 23.8 A^3/atom. As for the density of states at the Fermi level: 11.55 states/eV/f.u.



(6)
First-principles (PBE) data for a geometry-optimized Sr2Li3PuSb4 structure, as listed in the Alexandria database.

Lattice parameters (Å, degrees): 4.824 4.824 12.011 90.00 90.00 90.00
Sites, in units of the cell vectors:
Sb 0.000 0.000 0.000
Li 0.000 0.000 0.500
Li 0.500 0.000 0.881
Li 0.000 0.500 0.119
Sr 0.000 0.500 0.781
Pu 0.500 0.500 0.500
Sr 0.500 0.000 0.219
Sb 0.000 0.500 0.344
Sb 0.500 0.500 0.000
Sb 0.500 0.000 0.656

Summary:
The value obtained for the calculated total energy is -4.677 eV per atom. Its crystal system is tetragonal. Its uncorrected formation energy is -0.684 eV per atom. For the volume, the calculation gives 27.9 A^3/atom. As for the density of states at the Fermi level: 16.46 states/eV/f.u.



(7)
First-principles (PBE) data for a geometry-optimized LiPuTcSb structure, as listed in the Alexandria database.

Lattice parameters (Å, degrees): 4.727 4.727 4.727 60.00 60.00 60.00
Sites, in units of the cell vectors:
Sb 0.250 0.250 0.250
Tc 0.500 0.500 0.500
Li 0.000 0.000 0.000
Pu 0.750 0.750 0.750

Summary:
The value obtained for the calculated total energy is -7.806 eV per atom. Its crystal system is cubic. Its uncorrected formation energy is -0.122 eV per atom. For the volume, the calculation gives 18.7 A^3/atom. As for the density of states at the Fermi level: 10.64 states/eV/f.u.



(8)
First-principles (PBE) data for a geometry-optimized LiPuSc structure, as listed in the Alexandria database.

Lattice parameters (Å, degrees): 4.670 2.953 8.856 99.60 105.29 90.00
Sites, in units of the cell vectors:
Li 0.361 0.861 0.722
Pu 0.250 0.500 0.000
Sc 0.188 0.688 0.377
Sc 0.812 0.312 0.623
Li 0.639 0.139 0.278
Pu 0.750 0.500 0.000

Summary:
The distance to the lowest polymorph of the same formula is 284 meV per atom. The value obtained for the calculated total energy is -7.022 eV per atom. Its crystal system is orthorhombic. For the volume, the calculation gives 19.3 A^3/atom. The value obtained for the formation energy is 504 meV/atom. As for the density of states at the Fermi level: 5.46 states/eV/f.u.



(9)
First-principles (PBE) data for a geometry-optimized LiPuSc structure, as listed in the Alexandria database.

Lattice parameters (Å, degrees): 3.108 3.108 7.644 101.73 101.73 90.00
Sites, in units of the cell vectors:
Li 0.998 0.998 0.996
Pu 0.667 0.667 0.335
Sc 0.335 0.335 0.669

Summary:
The distance to the lowest polymorph of the same formula is 8 meV per atom. The value obtained for the calculated total energy is -7.297 eV per atom. Its crystal system is tetragonal. For the volume, the calculation gives 23.6 A^3/atom. The value obtained for the formation energy is 229 meV/atom. As for the density of states at the Fermi level: 7.95 states/eV/f.u.



(10)
First-principles (PBE) data for a geometry-optimized LiPuSc structure, as listed in the Alexandria database.

Lattice parameters (Å, degrees): 3.222 3.222 8.032 90.00 90.00 120.00
Sites, in units of the cell vectors:
Pu 0.000 0.000 0.003
Sc 0.667 0.333 0.335
Li 0.333 0.667 0.662

Summary:
The distance to the lowest polymorph of the same formula is 0 meV per atom. The value obtained for the calculated total energy is -7.306 eV per atom. Its crystal system is trigonal. For the volume, the calculation gives 24.1 A^3/atom. The value obtained for the formation energy is 220 meV/atom. As for the density of states at the Fermi level: 9.09 states/eV/f.u.



(11)
First-principles (PBE) data for a geometry-optimized Li3PuSc2Se6 structure, as listed in the Alexandria database.

Lattice parameters (Å, degrees): 6.866 6.866 6.813 99.68 99.68 120.02
Sites, in units of the cell vectors:
Li 0.834 0.166 0.500
Sc 0.333 0.667 0.000
Se 0.918 0.569 0.754
Se 0.569 0.918 0.754
Se 0.734 0.734 0.248
Li 0.166 0.834 0.500
Se 0.082 0.431 0.246
Se 0.266 0.266 0.752
Pu 0.000 0.000 0.000
Se 0.431 0.082 0.246
Li 0.500 0.500 0.500
Sc 0.667 0.333 0.000

Summary:
The value obtained for the calculated total energy is -5.980 eV per atom. Its crystal system is monoclinic. Its uncorrected formation energy is -1.509 eV per atom. For the volume, the calculation gives 21.8 A^3/atom. As for the density of states at the Fermi level: 12.90 states/eV/f.u.



(12)
First-principles (PBE) data for a geometry-optimized LiPuSc2Se4 structure, as listed in the Alexandria database.

Lattice parameters (Å, degrees): 3.942 6.816 6.937 109.20 90.00 90.00
Sites, in units of the cell vectors:
Se 0.500 0.753 0.738
Pu 0.500 0.500 0.000
Se 0.500 0.247 0.262
Sc 0.000 0.500 0.500
Sc 0.500 0.000 0.500
Se 0.000 0.237 0.736
Se 0.000 0.763 0.264
Li 0.000 0.000 0.000

Summary:
The value obtained for the calculated total energy is -6.935 eV per atom. Its crystal system is monoclinic. Its uncorrected formation energy is -1.579 eV per atom. For the volume, the calculation gives 22.0 A^3/atom. As for the density of states at the Fermi level: 12.03 states/eV/f.u.



(13)
First-principles (PBE) data for a geometry-optimized Li2PuScSe4 structure, as listed in the Alexandria database.

Lattice parameters (Å, degrees): 4.004 6.928 6.837 109.88 90.00 90.00
Sites, in units of the cell vectors:
Li 0.500 0.000 0.500
Se 0.500 0.236 0.246
Se 0.000 0.764 0.252
Li 0.000 0.500 0.500
Sc 0.000 0.000 0.000
Pu 0.500 0.500 0.000
Se 0.000 0.236 0.748
Se 0.500 0.764 0.754

Summary:
The value obtained for the calculated total energy is -6.279 eV per atom. Its crystal system is monoclinic. Its uncorrected formation energy is -1.476 eV per atom. For the volume, the calculation gives 22.3 A^3/atom. As for the density of states at the Fermi level: 11.72 states/eV/f.u.



(14)
First-principles (PBE) data for a geometry-optimized Li4Pu3ScSe8 structure, as listed in the Alexandria database.

Lattice parameters (Å, degrees): 8.133 7.959 8.132 120.73 120.00 90.00
Sites, in units of the cell vectors:
Li 0.500 0.000 0.500
Li 0.500 0.000 0.000
Li 0.000 0.000 0.000
Se 0.756 0.250 0.513
Se 0.756 0.250 0.993
Se 0.248 0.244 0.496
Se 0.244 0.750 0.007
Se 0.752 0.756 0.504
Se 0.763 0.750 0.007
Pu 0.000 0.500 0.500
Se 0.237 0.250 0.993
Li 0.000 0.000 0.500
Pu 0.500 0.500 0.500
Sc 0.000 0.500 0.000
Se 0.244 0.750 0.487
Pu 0.500 0.500 0.000

Summary:
The value obtained for the calculated total energy is -6.741 eV per atom. Its crystal system is trigonal. Its uncorrected formation energy is -1.437 eV per atom. For the volume, the calculation gives 23.0 A^3/atom. As for the density of states at the Fermi level: 31.82 states/eV/f.u.



(15)
First-principles (PBE) data for a geometry-optimized LiPu2ScSe4 structure, as listed in the Alexandria database.

Lattice parameters (Å, degrees): 4.044 7.062 6.897 109.93 90.00 90.00
Sites, in units of the cell vectors:
Pu 0.000 0.500 0.500
Li 0.500 0.500 0.000
Se 0.500 0.244 0.231
Sc 0.000 0.000 0.000
Se 0.500 0.756 0.769
Se 0.000 0.252 0.769
Pu 0.500 0.000 0.500
Se 0.000 0.748 0.231

Summary:
The value obtained for the calculated total energy is -7.846 eV per atom. Its crystal system is monoclinic. Its uncorrected formation energy is -1.490 eV per atom. For the volume, the calculation gives 23.1 A^3/atom. As for the density of states at the Fermi level: 24.11 states/eV/f.u.



(16)
First-principles (PBE) data for a geometry-optimized LiPuScTc structure, as listed in the Alexandria database.

Lattice parameters (Å, degrees): 4.741 4.741 4.741 60.00 60.00 60.00
Sites, in units of the cell vectors:
Li 0.750 0.750 0.750
Sc 0.500 0.500 0.500
Pu 0.000 0.000 0.000
Tc 0.250 0.250 0.250

Summary:
The value obtained for the calculated total energy is -8.207 eV per atom. Its crystal system is cubic. For the volume, the calculation gives 18.8 A^3/atom. The value obtained for the formation energy is 29 meV/atom. As for the density of states at the Fermi level: 7.09 states/eV/f.u.



(17)
First-principles (PBE) data for a geometry-optimized LiPu2ScTe4 structure, as listed in the Alexandria database.

Lattice parameters (Å, degrees): 4.328 7.531 7.434 109.42 90.00 90.00
Sites, in units of the cell vectors:
Pu 0.500 0.000 0.500
Te 0.000 0.746 0.232
Sc 0.000 0.000 0.000
Pu 0.000 0.500 0.500
Te 0.500 0.757 0.769
Li 0.500 0.500 0.000
Te 0.000 0.254 0.768
Te 0.500 0.243 0.231

Summary:
The value obtained for the calculated total energy is -7.285 eV per atom. Its crystal system is monoclinic. Its uncorrected formation energy is -1.100 eV per atom. For the volume, the calculation gives 28.6 A^3/atom. As for the density of states at the Fermi level: 22.43 states/eV/f.u.



(18)
First-principles (PBE) data for a geometry-optimized LiPu3Sc2Te6 structure, as listed in the Alexandria database.

Lattice parameters (Å, degrees): 4.308 8.640 9.634 102.53 102.92 90.00
Sites, in units of the cell vectors:
Te 0.336 0.902 0.671
Te 0.994 0.759 0.988
Li 0.500 0.000 0.000
Te 0.006 0.241 0.012
Sc 0.166 0.335 0.332
Te 0.671 0.576 0.342
Pu 0.165 0.836 0.329
Te 0.329 0.424 0.658
Pu 0.835 0.164 0.671
Sc 0.834 0.665 0.668
Te 0.664 0.098 0.329
Pu 0.500 0.500 0.000

Summary:
The value obtained for the calculated total energy is -7.472 eV per atom. Its crystal system is monoclinic. Its uncorrected formation energy is -1.104 eV per atom. For the volume, the calculation gives 28.4 A^3/atom. As for the density of states at the Fermi level: 34.24 states/eV/f.u.



(19)
First-principles (PBE) data for a geometry-optimized Li2PuSc3Te6 structure, as listed in the Alexandria database.

Lattice parameters (Å, degrees): 7.281 7.281 7.473 99.48 99.48 119.97
Sites, in units of the cell vectors:
Li 0.331 0.669 0.000
Sc 0.837 0.163 0.500
Te 0.258 0.258 0.742
Sc 0.163 0.837 0.500
Te 0.913 0.571 0.739
Te 0.571 0.913 0.739
Sc 0.500 0.500 0.500
Te 0.429 0.087 0.261
Pu 0.000 0.000 0.000
Li 0.669 0.331 0.000
Te 0.087 0.429 0.261
Te 0.742 0.742 0.258

Summary:
The value obtained for the calculated total energy is -5.816 eV per atom. Its crystal system is monoclinic. Its uncorrected formation energy is -1.149 eV per atom. For the volume, the calculation gives 27.0 A^3/atom. As for the density of states at the Fermi level: 17.85 states/eV/f.u.



(20)
First-principles (PBE) data for a geometry-optimized Li3PuSc2Te6 structure, as listed in the Alexandria database.

Lattice parameters (Å, degrees): 7.362 7.362 7.389 99.59 99.59 120.02
Sites, in units of the cell vectors:
Te 0.266 0.266 0.751
Sc 0.667 0.333 0.000
Li 0.162 0.838 0.500
Te 0.734 0.734 0.249
Te 0.917 0.568 0.751
Te 0.432 0.083 0.249
Pu 0.000 0.000 0.000
Te 0.568 0.917 0.751
Sc 0.333 0.667 0.000
Li 0.838 0.162 0.500
Te 0.083 0.432 0.249
Li 0.500 0.500 0.500

Summary:
The value obtained for the calculated total energy is -5.406 eV per atom. Its crystal system is monoclinic. Its uncorrected formation energy is -1.107 eV per atom. For the volume, the calculation gives 27.2 A^3/atom. As for the density of states at the Fermi level: 14.62 states/eV/f.u.